## La2Nd2Y4Ho (PBE)

Data for an optimized crystal structure of La2Nd2Y4Ho.

The space group is C2/m (No. 12) and the conventional cell measures 18.9845, 3.6652 and 9.7307 Å, with angles of 90.00, 115.72 and 90.00 degrees. The distinct sites, in fractional coordinates, are La at (0.1647, 0.0000, 0.9997), Nd at (0.1475, 0.5000, 0.6641), Y at (0.0201, 0.0000, 0.3327), Y at (0.1849, 0.5000, 0.3365) and Ho at (0.0000, 0.5000, 0.0000).

The value obtained for the formation energy is 0.003 eV per atom. For the density of states at the Fermi level, the calculation gives 27.700 states/eV/cell. For the total magnetization, the calculation gives 0.0 μB per formula unit.